VASP calculation (PBE with a Hubbard U) on an optimized crystal structure of MnFe2O2.

Cell: 6.1365 6.1365 3.1719 Å, 90.00 90.00 90.00°
Closest atoms and distances in Å follow each position.
Atoms (fractional coordinates):
Mn: 0.0000 0.0000 0.0000  4 O 2.30
Mn: 0.5000 0.5000 0.0000  4 O 2.30
Fe: 0.1768 0.6768 0.5000  2 O 2.12
Fe: 0.6768 0.8232 0.5000  2 O 2.12
Fe: 0.8232 0.3232 0.5000  2 O 2.12
Fe: 0.3232 0.1768 0.5000  2 O 2.12
O: 0.3382 0.8382 0.0000  2 Fe 2.12, 2 Mn 2.30
O: 0.8382 0.6618 0.0000  2 Fe 2.12, 2 Mn 2.30
O: 0.6618 0.1618 0.0000  2 Fe 2.12, 2 Mn 2.30
O: 0.1618 0.3382 0.0000  2 Fe 2.12, 2 Mn 2.30

- ρ: 5.52 Mg/m³
- Space-group type: P4/mbm, No. 127
- Final energy: -61.7 eV/cell